(1)
# LiIO3 (GGA-PBE, optimized geometry)
data_LiIO3
_chemical_formula_sum 'Li1 I1 O3'
_symmetry_space_group_name_H-M 'P 1'
_symmetry_Int_Tables_number 1
_symmetry_space_group_name_Hall 'P 1'
_cell_length_a 3.632
_cell_length_b 3.632
_cell_length_c 3.632
_cell_angle_alpha 90.00
_cell_angle_beta 90.00
_cell_angle_gamma 90.00
loop_
_atom_site_label
_atom_site_type_symbol
_atom_site_fract_x
_atom_site_fract_y
_atom_site_fract_z
_atom_site_occupancy
I1 I 0.500 0.500 0.500 1
O1 O 0.000 0.500 0.000 1
O2 O 0.000 0.000 0.500 1
O3 O 0.500 0.000 0.000 1
Li1 Li 0.000 0.000 0.000 1
# ΔE_f (raw): 87 kJ/mol of formula units
# V: 9.58 Å³ per atom

***

(2)
# BaCa2Ir2 (GGA-PBE, optimized geometry)
data_BaCa2Ir2
_chemical_formula_sum 'Ba2 Ca4 Ir4'
_symmetry_space_group_name_H-M 'P 1'
_symmetry_Int_Tables_number 1
_symmetry_space_group_name_Hall 'P 1'
_cell_length_a 8.562
_cell_length_b 8.562
_cell_length_c 3.339
_cell_angle_alpha 90.00
_cell_angle_beta 90.00
_cell_angle_gamma 90.00
loop_
_atom_site_label
_atom_site_type_symbol
_atom_site_fract_x
_atom_site_fract_y
_atom_site_fract_z
_atom_site_occupancy
Ca1 Ca 0.132 0.632 0.500 1
Ca2 Ca 0.632 0.868 0.500 1
Ca3 Ca 0.868 0.368 0.500 1
Ca4 Ca 0.368 0.132 0.500 1
Ir1 Ir 0.336 0.836 0.000 1
Ir2 Ir 0.836 0.664 0.000 1
Ir3 Ir 0.664 0.164 0.000 1
Ir4 Ir 0.164 0.336 0.000 1
Ba1 Ba 0.000 0.000 0.000 1
Ba2 Ba 0.500 0.500 0.000 1
# V: 24.48 Å³ per atom
# ΔH_f (0 K): -0.094 eV/atom